(1)
First-principles (GGA-PBE) data for a geometry-optimized KRbSc3 structure, as listed in Alexandria via LeMat-Bulk.

abc: 5.6719 5.6719 5.6719
angles: 90.00 90.00 90.00
Element x y z (fractional)
K: 0.0000 0.0000 0.0000
Rb: 0.5000 0.5000 0.5000
Sc: 0.5000 0.0000 0.0000
Sc: 0.0000 0.0000 0.5000
Sc: 0.0000 0.5000 0.0000

## Properties
Density   2.36 g cm⁻³
SG   Pm-3m (221)
DFT total energy   -13.771 eV/f.u.
Size of the total moment   0.00 μB/cell
Distance to the lowest polymorph of the same formula   0.00 eV/f.u.

---

(2)
First-principles (GGA-PBE) data for a geometry-optimized KRb3Sc structure, as listed in Alexandria via LeMat-Bulk.

abc: 7.4799 7.4799 7.4799
angles: 90.00 90.00 90.00
Each line ends with the local moment (μB).
Element x y z (fractional)
Rb: 0.5000 0.0000 0.0000  0.00
Rb: 0.0000 0.5000 0.0000  0.00
Rb: 0.0000 0.0000 0.5000  0.00
K: 0.0000 0.0000 0.0000  0.00
Sc: 0.5000 0.5000 0.5000  0.93

## Properties
Density   1.35 g cm⁻³
SG   Pm-3m (221)
DFT total energy   -6.078 eV/f.u.
Size of the total moment   1.57 μB/cell
Distance to the lowest polymorph of the same formula   0.90 eV/f.u.

---

(3)
First-principles (GGA-PBE) data for a geometry-optimized KRbSc2 structure, as listed in Alexandria via LeMat-Bulk.

abc: 10.3171 10.3171 7.9946
angles: 49.82 49.82 90.00
Each line ends with the local moment (μB).
Element x y z (fractional)
Sc: 0.6215 0.1250 0.2500  0.85
Sc: 0.8750 0.8715 0.7500  0.85
Sc: 0.1285 0.6250 0.2500  0.85
Sc: 0.3750 0.3785 0.7500  0.85
K: 0.2500 0.7500 0.5000  0.02
K: 0.5000 0.5000 0.0000  0.02
Rb: 0.0000 0.0000 0.0000  0.03
Rb: 0.7500 0.2500 0.5000  0.03

## Properties
Density   2.05 g cm⁻³
SG   I-42d (122)
DFT total energy   -10.503 eV/f.u.
Size of the total moment   6.75 μB/cell
Distance to the lowest polymorph of the same formula   1.25 eV/f.u.

---

(4)
First-principles (GGA-PBE) data for a geometry-optimized KRb2Sc structure, as listed in Alexandria via LeMat-Bulk.

abc: 7.0004 7.0004 7.0004
angles: 60.00 60.00 60.00
Each line ends with the local moment (μB).
Element x y z (fractional)
Rb: 0.2500 0.2500 0.2500  0.02
Rb: 0.7500 0.7500 0.7500  0.02
K: 0.0000 0.0000 0.0000  0.01
Sc: 0.5000 0.5000 0.5000  0.95

## Properties
Density   1.75 g cm⁻³
SG   Fm-3m (225)
DFT total energy   -6.818 eV/f.u.
Size of the total moment   2.04 μB/cell
Distance to the lowest polymorph of the same formula   0.00 eV/f.u.

---

(5)
First-principles (GGA-PBE) data for a geometry-optimized KRbSc2 structure, as listed in Alexandria via LeMat-Bulk.

abc: 13.9985 13.9985 13.9985
angles: 14.26 14.26 14.26
Element x y z (fractional)
Rb: 0.0000 0.0000 0.0000
K: 0.5000 0.5000 0.5000
Sc: 0.9157 0.9157 0.9157
Sc: 0.0843 0.0843 0.0843

## Properties
Density   2.46 g cm⁻³
SG   R-3m (166)
DFT total energy   -11.755 eV/f.u.
Size of the total moment   0.05 μB/cell
Distance to the lowest polymorph of the same formula   0.00 eV/f.u.

---

(6)
First-principles (GGA-PBE) data for a geometry-optimized KRb2Sc structure, as listed in Alexandria via LeMat-Bulk.

abc: 11.0327 11.0327 8.8309
angles: 51.34 51.34 90.00
Each line ends with the local moment (μB).
Element x y z (fractional)
Rb: 0.8750 0.8840 0.7500  0.01
Rb: 0.1160 0.6250 0.2500  0.01
Rb: 0.3750 0.3660 0.7500  0.01
Rb: 0.6340 0.1250 0.2500  0.01
K: 0.5000 0.5000 0.0000  0.01
K: 0.2500 0.7500 0.5000  0.01
Sc: 0.7500 0.2500 0.5000  0.91
Sc: 0.0000 0.0000 0.0000  0.92

## Properties
Density   1.68 g cm⁻³
SG   I-42d (122)
DFT total energy   -6.454 eV/f.u.
Size of the total moment   3.66 μB/cell
Distance to the lowest polymorph of the same formula   0.36 eV/f.u.

---

(7)
First-principles (GGA-PBE) data for a geometry-optimized K2RbScSe structure, as listed in Alexandria via LeMat-Bulk.

abc: 6.6734 5.9745 6.6734
angles: 90.00 90.00 90.00
Each line ends with the local moment (μB).
Element x y z (fractional)
Sc: 0.5000 0.5000 0.5000  1.00
Se: 0.0000 0.5000 0.0000  0.00
Rb: 0.0000 0.0000 0.0000  0.01
K: 0.5000 0.0000 0.0000  0.01
K: 0.0000 0.0000 0.5000  0.02

## Properties
Density   1.79 g cm⁻³
Formation energy without anion corrections   492 meV per atom
SG   P4/mmm (123)
DFT total energy   -10.516 eV/f.u.
Size of the total moment   1.85 μB/cell

---

(8)
First-principles (GGA-PBE) data for a geometry-optimized KRbSe structure, as listed in Alexandria via LeMat-Bulk.

abc: 5.4261 5.2616 5.2616
angles: 120.00 90.00 90.00
Element x y z (fractional)
Se: 0.3004 0.3333 0.6667
Rb: 0.5929 0.6667 0.3333
K: 0.1067 0.0000 0.0000

## Properties
Density   2.60 g cm⁻³
Formation energy without anion corrections   -953 meV per atom
SG   P3m1 (156)
DFT total energy   -8.409 eV/f.u.
Size of the total moment   0.00 μB/cell

---

(9)
First-principles (GGA-PBE) data for a geometry-optimized K2RbSe6 structure, as listed in Alexandria via LeMat-Bulk.

abc: 5.0422 10.1748 10.1748
angles: 57.47 53.12 53.12
Element x y z (fractional)
Se: 0.3181 0.4378 0.9168
Se: 0.5001 0.7465 0.2534
Se: 0.6819 0.5622 0.0832
Se: 0.3181 0.9168 0.4378
Se: 0.5001 0.2534 0.7465
Se: 0.6819 0.0832 0.5622
Rb: 0.9999 0.0000 0.0000
K: 0.1204 0.3456 0.3456
K: 0.8795 0.6544 0.6544

## Properties
Density   3.30 g cm⁻³
Formation energy without anion corrections   -644 meV per atom
SG   C2/m (12)
DFT total energy   -29.867 eV/f.u.
Size of the total moment   0.00 μB/cell

---

(10)
First-principles (GGA-PBE) data for a geometry-optimized KRb2Se structure, as listed in Alexandria via LeMat-Bulk.

abc: 12.6702 12.6702 9.5097
angles: 48.23 48.23 90.00
Element x y z (fractional)
Rb: 0.9552 0.6250 0.2500
Rb: 0.7948 0.1250 0.2500
Rb: 0.8750 0.0448 0.7500
Rb: 0.3750 0.2052 0.7500
Se: 0.0000 0.0000 0.0000
Se: 0.7500 0.2500 0.5000
K: 0.2500 0.7500 0.5000
K: 0.5000 0.5000 0.0000

## Properties
Density   1.87 g cm⁻³
Formation energy without anion corrections   -671 meV per atom
SG   I-42d (122)
DFT total energy   -9.201 eV/f.u.
Size of the total moment   0.00 μB/cell

---

(11)
First-principles (GGA-PBE) data for a geometry-optimized KRb2Se structure, as listed in Alexandria via LeMat-Bulk.

abc: 5.5592 5.5592 9.6256
angles: 73.22 73.22 60.00
Element x y z (fractional)
Se: 0.6492 0.6492 0.0523
Rb: 0.0408 0.0408 0.8777
Rb: 0.2835 0.2835 0.1494
K: 0.5265 0.5265 0.4206

## Properties
Density   1.98 g cm⁻³
Formation energy without anion corrections   -692 meV per atom
SG   R3m (160)
DFT total energy   -9.285 eV/f.u.
Size of the total moment   0.00 μB/cell

---

(12)
First-principles (GGA-PBE) data for a geometry-optimized KRbSe3 structure, as listed in Alexandria via LeMat-Bulk.

abc: 6.0859 6.0859 6.0859
angles: 90.00 90.00 90.00
Each line ends with the local moment (μB).
Element x y z (fractional)
K: 0.0000 0.0000 0.0000  0.03
Se: 0.0000 0.5000 0.0000  0.82
Se: 0.0000 0.0000 0.5000  0.79
Se: 0.5000 0.0000 0.0000  0.74
Rb: 0.5000 0.5000 0.5000  0.00

## Properties
Density   2.66 g cm⁻³
Formation energy without anion corrections   97 meV per atom
SG   Pm-3m (221)
DFT total energy   -12.035 eV/f.u.
Size of the total moment   4.00 μB/cell
Distance to the lowest polymorph of the same formula   0.00 eV/f.u.